Entry 1:
Density functional theory data (GGA-PBE) for a geometry-optimized RbBaIr3 structure.

extended XYZ file:
```
5
Lattice="5.362 0.000 0.000 0.000 5.362 0.000 0.000 0.000 5.362" Properties=species:S:1:pos:R:3 pbc="T T T"
Ir 0.000 2.681 0.000
Ir 0.000 0.000 2.681
Ir 2.681 0.000 0.000
Ba 0.000 0.000 0.000
Rb 2.681 2.681 2.681
```

Results
The value obtained for the energy above the most stable polymorph in this dataset is 0.000 eV/atom. As for the energy of formation: 2270 meV/atom.

Entry 2:
Density functional theory data (GGA-PBE) for a geometry-optimized RbBa2SnIr structure.

extended XYZ file:
```
5
Lattice="6.261 0.000 0.000 0.000 6.261 0.000 0.000 0.000 5.259" Properties=species:S:1:pos:R:3 pbc="T T T"
Ir 0.000 0.000 0.000
Ba 0.000 3.130 0.000
Ba 3.130 0.000 0.000
Rb 3.130 3.130 2.629
Sn 0.000 0.000 2.629
```

Results
As for the energy of formation: -176 meV/atom.

Entry 3:
Density functional theory data (GGA-PBE) for a geometry-optimized RbBa2TcIr structure.

extended XYZ file:
```
5
Lattice="6.302 0.000 0.000 0.000 4.920 0.000 0.000 0.000 6.302" Properties=species:S:1:pos:R:3 pbc="T T T"
Ir 0.000 2.460 0.000
Ba 0.000 0.000 3.151
Ba 3.151 0.000 0.000
Rb 0.000 0.000 0.000
Tc 3.151 2.460 3.151
```

Results
As for the energy of formation: 1869 meV/atom.

Entry 4:
Density functional theory data (GGA-PBE) for a geometry-optimized RbBaTeIr2 structure.

extended XYZ file:
```
5
Lattice="5.290 0.000 0.000 0.000 6.306 0.000 0.000 0.000 5.290" Properties=species:S:1:pos:R:3 pbc="T T T"
Ir 0.000 0.000 2.645
Ir 2.645 0.000 0.000
Te 2.645 3.153 2.645
Ba 0.000 0.000 0.000
Rb 0.000 3.153 0.000
```

Entry 5:
Density functional theory data (GGA-PBE) for a geometry-optimized RbBaTl2Ir structure.

extended XYZ file:
```
5
Lattice="-1.475 4.843 2.020 -2.040 -2.462 4.414 5.262 0.477 2.698" Properties=species:S:1:pos:R:3 pbc="T T T"
Tl -1.020 -1.231 2.207
Tl -0.737 2.421 1.010
Ir 0.000 0.000 0.000
Ba 2.631 0.239 1.349
Rb 0.874 1.429 4.566
```

Results
As for the energy of formation: -25 meV/atom.

Entry 6:
Density functional theory data (GGA-PBE) for a geometry-optimized RbBa2TlIr structure.

extended XYZ file:
```
5
Lattice="6.203 0.000 0.000 0.000 6.203 0.000 0.000 0.000 5.490" Properties=species:S:1:pos:R:3 pbc="T T T"
Tl 0.000 0.000 2.745
Ir 0.000 0.000 0.000
Ba 0.000 3.101 0.000
Ba 3.101 0.000 0.000
Rb 3.101 3.101 2.745
```

Results
As for the energy of formation: -48 meV/atom.

Entry 7:
Density functional theory data (GGA-PBE) for a geometry-optimized BaReIr structure.

extended XYZ file:
```
6
Lattice="-4.196 -4.869 0.756 3.672 -5.523 0.369 4.018 -3.477 3.987" Properties=species:S:1:pos:R:3 pbc="T T T"
Re 3.589 -9.535 2.920
Re 1.297 -10.428 3.645
Ir -1.925 -4.966 0.864
Ir 4.584 -7.537 4.099
Ba -0.766 -7.781 2.348
Ba 2.523 -6.761 1.452
```

Results
The value obtained for the energy above the most stable polymorph in this dataset is 0.054 eV/atom. As for the energy of formation: 225 meV/atom.

Entry 8:
Density functional theory data (GGA-PBE) for a geometry-optimized BaRe2Ir structure.

extended XYZ file:
```
4
Lattice="0.000 3.324 3.324 3.324 0.000 3.324 3.324 3.324 0.000" Properties=species:S:1:pos:R:3 pbc="T T T"
Re 1.662 1.662 1.662
Re 4.987 4.987 4.987
Ir 3.324 3.324 3.324
Ba 0.000 0.000 0.000
```

Results
The value obtained for the energy above the most stable polymorph in this dataset is 0.893 eV/atom. As for the energy of formation: 1538 meV/atom.

Entry 9:
Density functional theory data (GGA-PBE) for a geometry-optimized BaReIr structure.

extended XYZ file:
```
6
Lattice="4.749 -2.742 0.000 0.000 5.483 0.000 0.000 0.000 9.350" Properties=species:S:1:pos:R:3 pbc="T T T"
Re 0.000 0.000 2.337
Re 0.000 0.000 7.012
Ir 0.000 0.000 0.000
Ir 0.000 0.000 4.675
Ba 1.583 2.742 2.337
Ba 3.166 0.000 7.012
```

Results
The value obtained for the energy above the most stable polymorph in this dataset is 1.467 eV/atom. As for the energy of formation: 1638 meV/atom.

Entry 10:
Density functional theory data (GGA-PBE) for a geometry-optimized BaRe2Ir structure.

extended XYZ file:
```
4
Lattice="-4.679 2.655 0.420 -0.390 -5.318 -2.260 -1.136 -1.360 2.206" Properties=species:S:1:pos:R:3 pbc="T T T"
Re 0.000 0.000 0.000
Re -2.907 0.648 1.313
Ir -2.534 -1.332 -0.920
Ba -0.763 -3.339 -0.027
```

Results
The value obtained for the energy above the most stable polymorph in this dataset is 0.753 eV/atom. As for the energy of formation: 1398 meV/atom.

Entry 11:
Density functional theory data (GGA-PBE) for a geometry-optimized BaRe2Ir structure.

extended XYZ file:
```
4
Lattice="-0.098 -0.114 4.762 3.721 -2.976 0.060 0.271 4.151 -2.306" Properties=species:S:1:pos:R:3 pbc="T T T"
Re 0.000 0.000 0.000
Re 2.902 -0.185 0.082
Ir 0.993 1.246 2.433
Ba 1.812 -1.545 2.411
```

Results
The value obtained for the energy above the most stable polymorph in this dataset is 0.705 eV/atom. As for the energy of formation: 1350 meV/atom.

Entry 12:
Density functional theory data (GGA-PBE) for a geometry-optimized BaReIr2 structure.

extended XYZ file:
```
4
Lattice="4.438 0.000 0.012 2.219 3.844 0.012 2.194 1.266 5.847" Properties=species:S:1:pos:R:3 pbc="T T T"
Re 6.639 3.833 4.403
Ir 2.199 1.270 4.749
Ir 4.420 2.552 4.033
Ba 2.213 1.278 1.468
```

Results
The value obtained for the energy above the most stable polymorph in this dataset is 0.000 eV/atom. As for the energy of formation: 87 meV/atom.

The evaluated calculated total energy for the records listed, in turn: -18.12 -18.56 -14.70 -15.73 -16.61 -16.28 -22.56 -29.53 -18.32 -30.09 -30.28 -31.75 eV/f.u..